Here is an optimized crystal structure of Co2As from Alexandria. Energies are from GGA-PBE.

extended XYZ file:
```
6
Lattice="-0.7015 2.7090 0.1353 -0.7947 -0.0153 -3.8127 -6.3513 -1.7111 1.3307" Properties=species:S:1:pos:R:3 pbc="T T T"
Co -6.2183 0.6184 -0.6956
Co -1.6292 0.3641 -1.6511
Co -2.6352 1.4427 0.5435
Co -4.4175 -0.4448 0.9226
As 0.0000 0.0000 0.0000
As -3.9237 0.4913 -1.1733
```

Properties
DFT formation energy = 0.0195 eV/atom
E_tot = -37.61 eV for the cell shown
symmetry = Pnnm (58)

Here is an optimized crystal structure of Ti5Ga from Alexandria. Energies are from GGA-PBE.

extended XYZ file:
```
6
Lattice="4.6414 0.0000 0.0000 0.0000 5.0047 0.0000 0.0000 -2.5024 4.3342" Properties=species:S:1:pos:R:3 pbc="T T T"
Ti 0.0000 1.7029 2.9495
Ti 2.3207 0.0000 2.8895
Ti 2.3207 2.5024 1.4447
Ti 0.0000 1.5989 0.0000
Ti 0.0000 -0.7995 1.3847
Ga 2.3207 0.0000 0.0000
```

Properties
DFT formation energy = -0.1704 eV/atom
E_tot = -43.52 eV for the cell shown
symmetry = P-62m (189)

Here is an optimized crystal structure of BaTlGe from Alexandria. Energies are from GGA-PBE.

extended XYZ file:
```
3
Lattice="5.1353 0.0000 0.0000 0.0000 4.7396 0.0000 0.0000 -2.3698 4.1046" Properties=species:S:1:pos:R:3 pbc="T T T"
Tl 1.2168 0.0000 2.7364
Ba 3.4891 2.3698 1.3682
Ge 0.4294 0.0000 0.0000
```

Properties
DFT formation energy = -0.3848 eV/atom
E_tot = -10.06 eV for the cell shown
symmetry = P3m1 (156)

Here is an optimized crystal structure of TaWS2 from Alexandria. Energies are from GGA-PBE.

extended XYZ file:
```
4
Lattice="0.0000 3.0507 3.0507 3.0507 0.0000 3.0507 3.0507 3.0507 0.0000" Properties=species:S:1:pos:R:3 pbc="T T T"
Ta 0.0000 0.0000 0.0000
W 3.0507 3.0507 3.0507
S 4.5761 4.5761 4.5761
S 1.5254 1.5254 1.5254
```

Properties
ΔE_f (raw) = -0.061 eV/atom
E_tot = -33.31 eV for the cell shown
symmetry = Fm-3m (225)

Here is an optimized crystal structure of Rb3La3HoTe8 from Alexandria. Energies are from GGA-PBE.

extended XYZ file:
```
15
Lattice="9.2600 0.0005 0.0000 -4.6296 8.0292 -0.0361 -0.0003 -5.3213 8.7676" Properties=species:S:1:pos:R:3 pbc="T T T"
La -2.3149 1.3539 4.3658
La 4.6299 -2.6604 4.3838
La 2.3151 1.3542 4.3658
Te 4.6302 2.7859 2.6190
Te 0.0001 2.6856 2.5390
Te 7.0315 -1.3786 2.6372
Te 2.2285 -1.3790 2.6373
Te -2.4013 4.0871 6.0943
Te 2.4017 4.0874 6.0942
Te 4.6301 0.0229 6.1925
Te -0.0001 -0.0775 6.1125
Ho -0.0002 -2.6607 4.3838
Rb 0.0000 0.0000 0.0000
Rb -2.3148 4.0146 -0.0180
Rb 2.3152 4.0149 -0.0180
```

Properties
ΔE_f (raw) = -1.374 eV/atom
E_tot = -68.00 eV for the cell shown
symmetry = C2/m (12)

Here is an optimized crystal structure of KInHgO3 from Alexandria. Energies are from GGA-PBE.

extended XYZ file:
```
12
Lattice="3.3108 0.0000 0.0000 0.0000 7.0563 1.0506 0.0000 -2.5635 9.6981" Properties=species:S:1:pos:R:3 pbc="T T T"
In 0.8277 4.1002 1.7777
In 2.4831 0.3926 8.9710
K 0.8277 0.5420 2.3914
K 2.4831 3.9508 8.3572
O 2.4831 2.6382 1.4214
O 0.8277 -0.7179 8.1035
O 2.4831 0.1613 4.4171
O 2.4831 5.2107 2.6452
O 0.8277 4.3315 6.3315
O 0.8277 1.8546 9.3273
Hg 0.8277 -0.2146 5.8613
Hg 2.4831 4.7074 4.8873
```

Properties
ΔE_f (raw) = -1.014 eV/atom
E_tot = -50.19 eV for the cell shown
symmetry = P2_1/m (11)

Here is an optimized crystal structure of Zr2OsPb from Alexandria. Energies are from GGA-PBE.

extended XYZ file:
```
4
Lattice="3.7550 -0.1112 0.1301 2.4328 2.8625 0.1301 1.4846 0.6601 8.5434" Properties=species:S:1:pos:R:3 pbc="T T T"
Zr 4.0279 1.7909 4.8684
Zr 7.4806 3.3261 8.3368
Os 5.7543 2.5585 6.6026
Pb 1.9181 0.8528 2.2009
```

Properties
DFT formation energy = -0.0519 eV/atom
E_tot = -32.24 eV for the cell shown
symmetry = C2/m (12)

Here is an optimized crystal structure of Li2In from Alexandria. Energies are from GGA-PBE.

extended XYZ file:
```
9
Lattice="8.3250 0.0000 0.0000 -4.1625 7.2097 0.0000 0.0000 0.0000 2.9701" Properties=species:S:1:pos:R:3 pbc="T T T"
Li -2.6715 4.6271 1.4851
Li 1.4910 2.5825 1.4851
Li 2.8776 4.9842 0.0000
Li 5.3430 0.0000 1.4851
Li 2.5697 0.0000 0.0000
Li -1.2848 2.2254 0.0000
In 0.0000 0.0000 1.4851
In 0.0000 4.8064 0.0000
In 4.1625 2.4032 0.0000
```

Properties
DFT formation energy = -0.2292 eV/atom
E_tot = -21.76 eV for the cell shown
symmetry = P-62m (189)

It is found that the N(E_F) values, taken in the order of the records, are 6.9 5.4 1.5 4.3 12.6 1.1 3.5 3.6 states/eV/cell.
It is found that the magnetic moment values, taken in the order of the records, are 2.7 0.0 0.0 0.0 0.0 0.0 0.0 0.0 μB per cell.
It is found that the mass density values, taken in the order of the records, are 8.74 5.10 6.89 12.54 4.75 5.68 10.30 3.60 g/cm3.